(1)
Material: LaSnO3
Method: DFT, PBE-GGA
State: relaxed

As for the energy relative to the elements, uncorrected: -195.0 kJ/mol of atoms.

The structure belongs to space group Pm-3m (No. 221); the cell edges are 4.160, 4.160 and 4.160 Å and the angles 90.00°, 90.00° and 90.00°. Symmetry generates all atoms from La at (0.000, 0.000, 0.000), Sn at (0.500, 0.500, 0.500) and O at (0.000, 0.500, 0.500).

(2)
Material: LaSnO3
Method: DFT, PBE-GGA
State: relaxed

As for the energy relative to the elements, uncorrected: -145.2 kJ/mol of atoms.

The structure belongs to space group Pm-3m (No. 221); the cell edges are 4.480, 4.480 and 4.480 Å and the angles 90.00°, 90.00° and 90.00°. Symmetry generates all atoms from La at (0.000, 0.000, 0.000), Sn at (0.500, 0.500, 0.500) and O at (0.000, 0.000, 0.500).

(3)
Material: La12Sn3O5
Method: DFT, PBE-GGA
State: relaxed

As for the energy relative to the elements, uncorrected: -157.7 kJ/mol of atoms.

The structure belongs to space group Ia-3d (No. 230); the cell edges are 16.531, 16.531 and 16.531 Å and the angles 90.00°, 90.00° and 90.00°. Symmetry generates all atoms from La at (0.039, 0.050, 0.648), Sn at (0.000, 0.250, 0.125), O at (0.000, 0.000, 0.000) and O at (0.000, 0.250, 0.375).

(4)
Material: LaSnO2
Method: DFT, PBE-GGA
State: relaxed

As for the energy relative to the elements, uncorrected: -221.8 kJ/mol of atoms.

The structure belongs to space group R-3m (No. 166, hexagonal axes); the cell edges are 3.7070, 3.7070 and 20.5203 Å and the angles 90.00°, 90.00° and 120.00°. Symmetry generates all atoms from La at (0.0000, 0.0000, 0.0000), Sn at (0.0000, 0.0000, 0.5000) and O at (0.0000, 0.0000, 0.3880).

(5)
Material: LaSnO
Method: DFT, PBE-GGA
State: relaxed

As for the energy relative to the elements, uncorrected: -213.2 kJ/mol of atoms. For the excess energy over the best structure of this formula in the dataset, the calculation gives 0 meV/atom.

The structure belongs to space group P4/nmm (No. 129, origin choice 2); the cell edges are 4.128, 4.128 and 8.364 Å and the angles 90.00°, 90.00° and 90.00°. Symmetry generates all atoms from La at (0.250, 0.250, 0.142), Sn at (0.250, 0.250, 0.569) and O at (0.250, 0.750, 0.000).

(6)
Material: LaSnO
Method: DFT, PBE-GGA
State: relaxed

As for the energy relative to the elements, uncorrected: -193.0 kJ/mol of atoms. For the excess energy over the best structure of this formula in the dataset, the calculation gives 209 meV/atom.

The structure belongs to space group I4/mmm (No. 139); the cell edges are 3.446, 3.446 and 22.726 Å and the angles 90.00°, 90.00° and 90.00°. Symmetry generates all atoms from La at (0.000, 0.000, 0.183), Sn at (0.000, 0.000, 0.437) and O at (0.000, 0.000, 0.290).

(7)
Material: La4Sn6O19
Method: DFT, PBE-GGA
State: relaxed

As for the energy relative to the elements, uncorrected: -205.0 kJ/mol of atoms.

The structure belongs to space group I23 (No. 197); the cell edges are 9.555, 9.555 and 9.555 Å and the angles 90.00°, 90.00° and 90.00°. Symmetry generates all atoms from La at (0.149, 0.149, 0.851), Sn at (0.000, 0.336, 0.500), O at (0.000, 0.000, 0.000), O at (0.000, 0.000, 0.350) and O at (0.026, 0.323, 0.715).

(8)
Material: La2SnO2
Method: DFT, PBE-GGA
State: relaxed

As for the energy relative to the elements, uncorrected: -246.9 kJ/mol of atoms.

The structure belongs to space group I4/mmm (No. 139); the cell edges are 4.034, 4.034 and 14.774 Å and the angles 90.00°, 90.00° and 90.00°. Symmetry generates all atoms from La at (0.000, 0.000, 0.166), Sn at (0.000, 0.000, 0.500) and O at (0.000, 0.500, 0.250).

Number 1: total magnetic moment 0.0 μB/cell. Number 2: total magnetic moment 1.0 μB/cell. Number 3: total magnetic moment 31.2 μB/cell. Number 4: total magnetic moment 0.0 μB/cell. Number 5: total magnetic moment 0.0 μB/cell. Number 6: total magnetic moment 0.0 μB/cell. Number 7: total magnetic moment 4.4 μB/cell. Number 8: total magnetic moment 0.0 μB/cell.